Below is a geometry-optimized CoRhO2 structure, with properties calculated at the PBE with a Hubbard U level.

Results
The calculation puts the total energy at -22.3 eV per formula unit.

Structure (CIF):
```
data_CoRhO2
_cell_length_a 3.8543
_cell_length_b 3.8543
_cell_length_c 3.8543
_cell_angle_alpha 60.00
_cell_angle_beta 60.00
_cell_angle_gamma 60.00
_symmetry_space_group_name_H-M 'P 1'
_symmetry_Int_Tables_number 1
loop_
_symmetry_equiv_pos_as_xyz
'x,y,z'
loop_
_atom_site_label
_atom_site_fract_x
_atom_site_fract_y
_atom_site_fract_z
Co1 0.0000 0.0000 0.0000
Rh1 0.5000 0.5000 0.5000
O1 0.2500 0.2500 0.2500
O2 0.7500 0.7500 0.7500
```